Record 1
# SrTmNi2 | Alexandria via LeMat-Bulk | PBE-GGA | optimized geometry
# DOS at the Fermi energy	2.0	states/eV/f.u.
# energy relative to the elements	-0.183	eV per atom
# symmetry	P4/mmm
data_SrTmNi2
_chemical_formula_sum 'Sr1 Tm1 Ni2'
_cell_length_a 3.455
_cell_length_b 3.455
_cell_length_c 7.079
_cell_angle_alpha 90.00
_cell_angle_beta 90.00
_cell_angle_gamma 90.00
_symmetry_space_group_name_H-M 'P 1'
_symmetry_Int_Tables_number 1
loop_
_symmetry_equiv_pos_as_xyz
'x,y,z'
loop_
_atom_site_label
_atom_site_fract_x
_atom_site_fract_y
_atom_site_fract_z
_atom_site_occupancy
Sr1 0.000 0.000 0.000 1
Tm1 0.000 0.000 0.500 1
Ni1 0.500 0.500 0.306 1
Ni2 0.500 0.500 0.694 1

Record 2
# Sr2UNi | Alexandria via LeMat-Bulk | PBE-GGA | optimized geometry
# DOS at the Fermi energy	7.4	states/eV/f.u.
# energy relative to the elements	1.128	eV per atom
# symmetry	Fm-3m
data_Sr2UNi
_chemical_formula_sum 'Sr2 U1 Ni1'
_cell_length_a 5.581
_cell_length_b 5.581
_cell_length_c 5.581
_cell_angle_alpha 60.00
_cell_angle_beta 60.00
_cell_angle_gamma 60.00
_symmetry_space_group_name_H-M 'P 1'
_symmetry_Int_Tables_number 1
loop_
_symmetry_equiv_pos_as_xyz
'x,y,z'
loop_
_atom_site_label
_atom_site_fract_x
_atom_site_fract_y
_atom_site_fract_z
_atom_site_occupancy
Sr1 0.250 0.250 0.250 1
Sr2 0.750 0.750 0.750 1
U1 0.000 0.000 0.000 1
Ni1 0.500 0.500 0.500 1

Record 3
# SrVNi2 | Alexandria via LeMat-Bulk | PBE-GGA | optimized geometry
# DOS at the Fermi energy	3.8	states/eV/f.u.
# energy relative to the elements	0.442	eV per atom
# excess energy over the best structure of this formula in the dataset	0.000	eV per formula unit
# symmetry	I4_1/amd
data_SrVNi2
_chemical_formula_sum 'Sr2 V2 Ni4'
_cell_length_a 8.345
_cell_length_b 8.345
_cell_length_c 8.345
_cell_angle_alpha 146.18
_cell_angle_beta 146.18
_cell_angle_gamma 48.58
_symmetry_space_group_name_H-M 'P 1'
_symmetry_Int_Tables_number 1
loop_
_symmetry_equiv_pos_as_xyz
'x,y,z'
loop_
_atom_site_label
_atom_site_fract_x
_atom_site_fract_y
_atom_site_fract_z
_atom_site_occupancy
Sr1 0.375 0.625 0.750 1
Sr2 0.625 0.375 0.250 1
V1 0.125 0.875 0.250 1
V2 0.875 0.125 0.750 1
Ni1 0.000 0.000 0.000 1
Ni2 0.000 0.000 0.500 1
Ni3 0.000 0.500 0.000 1
Ni4 0.500 0.000 0.500 1

Record 4
# SrV2Ni | Alexandria via LeMat-Bulk | PBE-GGA | optimized geometry
# DOS at the Fermi energy	6.4	states/eV/f.u.
# energy relative to the elements	1.075	eV per atom
# excess energy over the best structure of this formula in the dataset	0.886	eV per formula unit
# symmetry	Fm-3m
data_SrV2Ni
_chemical_formula_sum 'Sr1 V2 Ni1'
_cell_length_a 4.528
_cell_length_b 4.528
_cell_length_c 4.528
_cell_angle_alpha 60.00
_cell_angle_beta 60.00
_cell_angle_gamma 60.00
_symmetry_space_group_name_H-M 'P 1'
_symmetry_Int_Tables_number 1
loop_
_symmetry_equiv_pos_as_xyz
'x,y,z'
loop_
_atom_site_label
_atom_site_fract_x
_atom_site_fract_y
_atom_site_fract_z
_atom_site_occupancy
Sr1 0.000 0.000 0.000 1
V1 0.250 0.250 0.250 1
V2 0.750 0.750 0.750 1
Ni1 0.500 0.500 0.500 1

Record 5
# SrV2Ni2 | Alexandria via LeMat-Bulk | PBE-GGA | optimized geometry
# DOS at the Fermi energy	7.3	states/eV/f.u.
# energy relative to the elements	0.243	eV per atom
# symmetry	I4/mmm
data_SrV2Ni2
_chemical_formula_sum 'Sr1 V2 Ni2'
_cell_length_a 6.116
_cell_length_b 6.116
_cell_length_c 6.116
_cell_angle_alpha 141.31
_cell_angle_beta 141.31
_cell_angle_gamma 55.87
_symmetry_space_group_name_H-M 'P 1'
_symmetry_Int_Tables_number 1
loop_
_symmetry_equiv_pos_as_xyz
'x,y,z'
loop_
_atom_site_label
_atom_site_fract_x
_atom_site_fract_y
_atom_site_fract_z
_atom_site_occupancy
Sr1 0.000 0.000 0.000 1
V1 0.250 0.750 0.500 1
V2 0.750 0.250 0.500 1
Ni1 0.375 0.375 0.000 1
Ni2 0.625 0.625 0.000 1

Record 6
# SrV2Ni | Alexandria via LeMat-Bulk | PBE-GGA | optimized geometry
# DOS at the Fermi energy	7.0	states/eV/f.u.
# energy relative to the elements	0.854	eV per atom
# excess energy over the best structure of this formula in the dataset	0.000	eV per formula unit
# symmetry	I4_1/amd
data_SrV2Ni
_chemical_formula_sum 'Sr2 V4 Ni2'
_cell_length_a 9.658
_cell_length_b 9.658
_cell_length_c 9.658
_cell_angle_alpha 153.88
_cell_angle_beta 153.88
_cell_angle_gamma 37.27
_symmetry_space_group_name_H-M 'P 1'
_symmetry_Int_Tables_number 1
loop_
_symmetry_equiv_pos_as_xyz
'x,y,z'
loop_
_atom_site_label
_atom_site_fract_x
_atom_site_fract_y
_atom_site_fract_z
_atom_site_occupancy
Sr1 0.375 0.625 0.750 1
Sr2 0.625 0.375 0.250 1
V1 0.000 0.000 0.000 1
V2 0.000 0.000 0.500 1
V3 0.000 0.500 0.000 1
V4 0.500 0.000 0.500 1
Ni1 0.125 0.875 0.250 1
Ni2 0.875 0.125 0.750 1

Record 7
# Sr2VNi | Alexandria via LeMat-Bulk | PBE-GGA | optimized geometry
# DOS at the Fermi energy	3.9	states/eV/f.u.
# energy relative to the elements	0.509	eV per atom
# excess energy over the best structure of this formula in the dataset	0.000	eV per formula unit
# symmetry	I-42d
data_Sr2VNi
_chemical_formula_sum 'Sr4 V2 Ni2'
_cell_length_a 8.298
_cell_length_b 8.298
_cell_length_c 8.298
_cell_angle_alpha 94.22
_cell_angle_beta 94.22
_cell_angle_gamma 148.51
_symmetry_space_group_name_H-M 'P 1'
_symmetry_Int_Tables_number 1
loop_
_symmetry_equiv_pos_as_xyz
'x,y,z'
loop_
_atom_site_label
_atom_site_fract_x
_atom_site_fract_y
_atom_site_fract_z
_atom_site_occupancy
Sr1 0.375 0.049 0.174 1
Sr2 0.799 0.625 0.674 1
Sr3 0.875 0.201 0.826 1
Sr4 0.951 0.125 0.326 1
V1 0.250 0.750 0.500 1
V2 0.500 0.500 0.000 1
Ni1 0.000 0.000 0.000 1
Ni2 0.750 0.250 0.500 1

Record 8
# SrVNi2 | Alexandria via LeMat-Bulk | PBE-GGA | optimized geometry
# DOS at the Fermi energy	4.8	states/eV/f.u.
# energy relative to the elements	0.542	eV per atom
# excess energy over the best structure of this formula in the dataset	0.400	eV per formula unit
# symmetry	Fm-3m
data_SrVNi2
_chemical_formula_sum 'Sr1 V1 Ni2'
_cell_length_a 4.625
_cell_length_b 4.625
_cell_length_c 4.625
_cell_angle_alpha 60.00
_cell_angle_beta 60.00
_cell_angle_gamma 60.00
_symmetry_space_group_name_H-M 'P 1'
_symmetry_Int_Tables_number 1
loop_
_symmetry_equiv_pos_as_xyz
'x,y,z'
loop_
_atom_site_label
_atom_site_fract_x
_atom_site_fract_y
_atom_site_fract_z
_atom_site_occupancy
Sr1 0.000 0.000 0.000 1
V1 0.500 0.500 0.500 1
Ni1 0.250 0.250 0.250 1
Ni2 0.750 0.750 0.750 1